[1]
A relaxed structure of K4Tb3PuTe8. Source: the Alexandria database, functional PBE-GGA.

Properties
space-group type: R-3m, No. 166
total magnetic moment: 5.00 Bohr magnetons per cell

Lattice parameters (Å, degrees): 9.0641 9.7527 9.0642 117.70 120.00 90.00
Fractional positions:
1 K 0.5000 0.0000 0.0000
2 K 0.5000 0.0000 0.5000
3 K 0.0000 0.0000 0.0000
4 K 0.0000 0.0000 0.5000
5 Tb 0.5000 0.5000 0.0000
6 Tb 0.5000 0.5000 0.5000
7 Tb 0.0000 0.5000 0.5000
8 Pu 0.0000 0.5000 0.0000
9 Te 0.2381 0.7093 0.9713
10 Te 0.2381 0.7093 0.4762
11 Te 0.2636 0.2908 0.5271
12 Te 0.7332 0.7093 0.9713
13 Te 0.2668 0.2907 0.0287
14 Te 0.7364 0.7092 0.4729
15 Te 0.7619 0.2907 0.5238
16 Te 0.7619 0.2907 0.0287


[2]
A relaxed structure of K3Tb2PuTe6. Source: the Alexandria database, functional PBE-GGA.

Properties
space-group type: C2/m, No. 12
total magnetic moment: 5.00 Bohr magnetons per cell

Lattice parameters (Å, degrees): 7.8662 7.8662 8.6228 98.75 98.75 120.00
Fractional positions:
1 K 0.1659 0.8341 0.5000
2 K 0.8341 0.1659 0.5000
3 K 0.5000 0.5000 0.5000
4 Tb 0.3333 0.6667 0.0000
5 Tb 0.6667 0.3333 0.0000
6 Pu 0.0000 0.0000 0.0000
7 Te 0.9302 0.5935 0.7906
8 Te 0.7331 0.7331 0.2093
9 Te 0.0698 0.4065 0.2094
10 Te 0.5935 0.9302 0.7906
11 Te 0.2669 0.2669 0.7907
12 Te 0.4065 0.0698 0.2094


In the order shown, the computed volume values come out to 36.6, 36.7 Å³ per atom.
In the order shown, the computed final energy values come out to -4.932, -5.106 eV/atom.